Record 1
Density functional theory data (PBE) for an optimized crystal structure of BaAg2TeS4.

Values from the calculation:
Symmetry   C2/c

Cell lengths 7.7600, 7.7600, 7.6564 Å; angles 112.70, 112.70, 84.92 degrees
Element x y z (fractional)
Ba  0.0000  0.5000  0.0000
Ba  0.5000  0.0000  0.5000
Ag  0.0000  0.0000  0.0000
Ag  0.0000  0.0000  0.5000
Ag  0.0000  0.5000  0.5000
Ag  0.5000  0.0000  0.0000
Te  0.5000  0.5000  0.0000
Te  0.5000  0.5000  0.5000
S  0.1947  0.2606  0.3240
S  0.2162  0.7261  0.4926
S  0.2606  0.1947  0.8240
S  0.2739  0.7838  0.0074
S  0.7261  0.2162  0.9926
S  0.7394  0.8053  0.1760
S  0.7838  0.2739  0.5074
S  0.8053  0.7394  0.6760

=====

Record 2
Density functional theory data (PBE) for an optimized crystal structure of ZrHgP2.

Values from the calculation:
Symmetry   I4/mmm
Energy of formation   -0.21 eV/f.u.

Cell lengths 5.0183, 5.0183, 5.0183 Å; angles 129.44, 129.44, 74.30 degrees
Element x y z (fractional)
Zr  0.0000  0.0000  0.0000
Hg  0.5000  0.5000  0.0000
P  0.2500  0.7500  0.5000
P  0.7500  0.2500  0.5000

=====

Record 3
Density functional theory data (PBE) for an optimized crystal structure of Al2TcCl.

Values from the calculation:
Symmetry   P4/mmm
Excess energy over the best structure of this formula in the dataset   0.72 eV per formula unit

Cell lengths 3.0863, 3.0863, 7.2671 Å; angles 90.00, 90.00, 90.00 degrees
Element x y z (fractional)
Al  0.0000  0.0000  0.1931
Al  0.0000  0.0000  0.8069
Tc  0.5000  0.5000  0.0000
Cl  0.5000  0.5000  0.5000

=====

Record 4
Density functional theory data (PBE) for an optimized crystal structure of La8Tl2Ir3.

Values from the calculation:
Symmetry   P2/m
Excess energy over the best structure of this formula in the dataset   0.57 eV per formula unit
Energy of formation   -5.59 eV/f.u.

Cell lengths 9.3226, 5.1372, 9.3322 Å; angles 90.00, 112.40, 90.00 degrees
Element x y z (fractional)
La  0.1086  0.0000  0.3911
La  0.1472  0.5000  0.8693
La  0.3686  0.5000  0.6473
La  0.3903  0.0000  0.1103
La  0.6097  0.0000  0.8897
La  0.6314  0.5000  0.3527
La  0.8528  0.5000  0.1307
La  0.8914  0.0000  0.6089
Tl  0.2423  0.5000  0.2584
Tl  0.7577  0.5000  0.7416
Ir  0.2389  0.0000  0.7393
Ir  0.5000  0.5000  0.0000
Ir  0.7611  0.0000  0.2607

=====

Record 5
Density functional theory data (PBE) for an optimized crystal structure of Pm5Nd3Th2.

Values from the calculation:
Symmetry   C2/c
Energy of formation   2.15 eV/f.u.

Cell lengths 9.3257, 9.3257, 10.0137 Å; angles 109.46, 109.46, 106.53 degrees
Element x y z (fractional)
Pm  0.0138  0.9862  0.7500
Pm  0.1265  0.3750  0.7518
Pm  0.2230  0.7770  0.7500
Pm  0.3750  0.1265  0.2518
Pm  0.4721  0.5279  0.2500
Pm  0.5279  0.4721  0.7500
Pm  0.6250  0.8735  0.7482
Pm  0.7770  0.2230  0.2500
Pm  0.8735  0.6250  0.2482
Pm  0.9862  0.0138  0.2500
Nd  0.2257  0.4753  0.4531
Nd  0.2632  0.7368  0.2500
Nd  0.4753  0.2257  0.9531
Nd  0.5247  0.7743  0.0469
Nd  0.7368  0.2632  0.7500
Nd  0.7743  0.5247  0.5469
Th  0.0300  0.2792  0.0606
Th  0.2792  0.0300  0.5606
Th  0.7208  0.9700  0.4394
Th  0.9700  0.7208  0.9394

=====

Record 6
Density functional theory data (PBE) for an optimized crystal structure of BaMgSi2.

Values from the calculation:
Symmetry   I4_1/amd

Cell lengths 9.6359, 9.6359, 9.6359 Å; angles 149.16, 149.16, 44.18 degrees
Element x y z (fractional)
Ba  0.3750  0.6250  0.7500
Ba  0.6250  0.3750  0.2500
Mg  0.1250  0.8750  0.2500
Mg  0.8750  0.1250  0.7500
Si  0.0000  0.0000  0.0000
Si  0.0000  0.0000  0.5000
Si  0.0000  0.5000  0.0000
Si  0.5000  0.0000  0.5000

=====

Record 7
Density functional theory data (PBE) for an optimized crystal structure of NaSb2MoAs.

Values from the calculation:
Symmetry   P4/mmm

Cell lengths 5.5734, 5.5734, 4.7939 Å; angles 90.00, 90.00, 90.00 degrees
Element x y z (fractional)
Na  0.0000  0.0000  0.0000
Sb  0.0000  0.5000  0.5000
Sb  0.5000  0.0000  0.5000
Mo  0.5000  0.5000  0.0000
As  0.5000  0.5000  0.5000

=====

Record 8
Density functional theory data (PBE) for an optimized crystal structure of LaGdSc4.

Values from the calculation:
Symmetry   F-43m
Energy of formation   1.26 eV/f.u.

Cell lengths 6.3306, 6.3306, 6.3306 Å; angles 60.00, 60.00, 60.00 degrees
Element x y z (fractional)
La  0.0000  0.0000  0.0000
Gd  0.7500  0.7500  0.7500
Sc  0.3748  0.3748  0.3748
Sc  0.3748  0.3748  0.8755
Sc  0.3748  0.8755  0.3748
Sc  0.8755  0.3748  0.3748

=====

Record 9
Density functional theory data (PBE) for an optimized crystal structure of LaEuS.

Values from the calculation:
Symmetry   P3m1

Cell lengths 4.0204, 4.0204, 6.9894 Å; angles 90.00, 90.00, 120.00 degrees
Element x y z (fractional)
La  0.0000  0.0000  0.0000
Eu  0.3333  0.6667  0.4961
S  0.6667  0.3333  0.2494

=====

Record 10
Density functional theory data (PBE) for an optimized crystal structure of CaAcIn.

Values from the calculation:
Symmetry   I4mm
Excess energy over the best structure of this formula in the dataset   1.97 eV per formula unit
Energy of formation   0.83 eV/f.u.

Cell lengths 10.0613, 10.0613, 10.0613 Å; angles 159.35, 159.35, 29.37 degrees
Element x y z (fractional)
Ca  0.0000  0.0000  0.0000
Ac  0.3441  0.3441  0.0000
In  0.1697  0.1697  0.0000

=====

Record 11
Density functional theory data (PBE) for an optimized crystal structure of LiTaBr2.

Values from the calculation:
Symmetry   P4/mmm
Excess energy over the best structure of this formula in the dataset   1.74 eV per formula unit

Cell lengths 4.8573, 4.8573, 3.1855 Å; angles 90.00, 90.00, 90.00 degrees
Element x y z (fractional)
Li  0.0000  0.0000  0.0000
Ta  0.5000  0.5000  0.0000
Br  0.0000  0.5000  0.5000
Br  0.5000  0.0000  0.5000

=====

Record 12
Density functional theory data (PBE) for an optimized crystal structure of KLiReI6.

Values from the calculation:
Symmetry   P-31c

Cell lengths 7.4829, 7.4829, 15.4272 Å; angles 90.00, 90.00, 120.00 degrees
Element x y z (fractional)
K  0.0000  0.0000  0.0000
K  0.0000  0.0000  0.5000
Li  0.3333  0.6667  0.2500
Li  0.6667  0.3333  0.7500
Re  0.3333  0.6667  0.7500
Re  0.6667  0.3333  0.2500
I  0.0225  0.3802  0.6468
I  0.0225  0.6422  0.8532
I  0.3578  0.3802  0.8532
I  0.3578  0.9775  0.6468
I  0.3802  0.0225  0.1468
I  0.3802  0.3578  0.3532
I  0.6198  0.6422  0.6468
I  0.6198  0.9775  0.8532
I  0.6422  0.0225  0.3532
I  0.6422  0.6198  0.1468
I  0.9775  0.3578  0.1468
I  0.9775  0.6198  0.3532

=====

Energy, respectively: -61.15; -19.88; -20.67; -76.32; -101.50; -29.03; -21.60; -43.08; -23.15; -8.02; -16.59; -59.10 eV per cell.